Entry 1:
Compound: Ag2HgS2
Source: Alexandria via LeMat-Bulk
Functional: PBE
Structure: optimized geometry

The value obtained for the total magnetization is 0.0 Bohr magnetons per cell. Its formation energy without anion corrections is 0.063 eV per atom. The total energy is -2.789 eV per atom.

abc: 4.923 4.923 5.623
angles: 64.04 64.04 90.00
Sites, in units of the cell vectors:
1 S 0.380 0.380 0.241
2 S 0.620 0.620 0.759
3 Hg 0.000 0.000 0.000
4 Ag 0.750 0.250 0.500
5 Ag 0.250 0.750 0.500

=====

Entry 2:
Compound: AlCrIn2
Source: Alexandria via LeMat-Bulk
Functional: PBE
Structure: optimized geometry

The value obtained for the total magnetization is 4.0 Bohr magnetons per cell. As for the formation energy: 0.339 eV/atom. The total energy is -4.371 eV per atom.

abc: 9.350 9.350 9.350
angles: 20.01 20.01 20.01
Site moments in Bohr magnetons follow the coordinates.
Sites, in units of the cell vectors:
1 Cr 0.750 0.750 0.750  3.56
2 Al 0.250 0.250 0.250  0.01
3 In 0.003 0.003 0.003  -0.02
4 In 0.497 0.497 0.497  -0.02

=====

Entry 3:
Compound: DyYAs2Rh5
Source: Alexandria via LeMat-Bulk
Functional: PBE
Structure: optimized geometry

The value obtained for the total magnetization is 0.0 Bohr magnetons per cell. As for the formation energy: -0.799 eV/atom. The total energy is -7.146 eV per atom.

abc: 4.229 4.229 8.802
angles: 90.00 90.00 90.00
Sites, in units of the cell vectors:
1 Dy 0.000 0.000 0.500
2 Y 0.000 0.000 0.000
3 As 0.500 0.500 0.146
4 As 0.500 0.500 0.854
5 Rh 0.000 0.500 0.269
6 Rh 0.500 0.000 0.269
7 Rh 0.000 0.500 0.731
8 Rh 0.500 0.000 0.731
9 Rh 0.500 0.500 0.500

=====

Entry 4:
Compound: CaYTl4
Source: Alexandria via LeMat-Bulk
Functional: PBE
Structure: optimized geometry

The value obtained for the energy above the most stable polymorph in this dataset is 148 meV per atom. The value obtained for the total magnetization is 0.0 Bohr magnetons per cell. As for the formation energy: -0.088 eV/atom. The total energy is -3.077 eV per atom.

abc: 6.296 6.296 6.296
angles: 60.00 60.00 60.00
Sites, in units of the cell vectors:
1 Ca 0.000 0.000 0.000
2 Y 0.750 0.750 0.750
3 Tl 0.874 0.375 0.375
4 Tl 0.375 0.375 0.874
5 Tl 0.375 0.874 0.375
6 Tl 0.375 0.375 0.375